# CsPdBr2Cl

A geometry-optimized CsPdBr2Cl structure (PBE-GGA, the Open Quantum Materials Database).

```
CsPdBr2Cl
1.0
-2.0461 -6.1913 3.3967
1.8295 3.2546 6.3338
-4.8364 3.3543 -4.4061
Br Cs Cl Pd
4 2 2 2
direct
0.2494 0.7506 0.0000 Br
0.2494 0.2494 0.4988 Br
0.7506 0.2494 0.0000 Br
0.7506 0.7506 0.5012 Br
0.7500 0.2500 0.5000 Cs
0.2500 0.7500 0.5000 Cs
0.2516 0.2516 0.0000 Cl
0.7484 0.7484 0.0000 Cl
0.5000 0.5000 0.0000 Pd
0.0000 0.0000 0.0000 Pd
```

Cs2PtBrCl3 (PBE-GGA, optimized geometry); total magnetic moment = 0.0 μB/cell
1.0
-3.9949 -0.6561 -2.6254
3.0384 -6.1520 -3.0858
-3.0633 -3.9231 5.6415
Cl Pt Cs Br
3 1 2 1
direct
0.0000 0.2156 0.7874 Cl
0.0000 0.7874 0.2156 Cl
0.0000 0.2261 0.2261 Cl
0.0000 0.0010 0.0010 Pt
0.5000 0.4930 0.0127 Cs
0.5000 0.0127 0.4930 Cs
0.0000 0.7643 0.7643 Br

Cs2PtBr3Cl (PBE-GGA, optimized geometry); total magnetic moment = 0.0 μB/cell
1.0
-2.7410 1.2830 -3.8657
-4.9182 -5.7893 1.5658
-4.3548 4.4961 4.5801
Pt Br Cl Cs
1 3 1 2
direct
0.0000 0.0013 0.0013 Pt
0.0000 0.2316 0.7713 Br
0.0000 0.7818 0.7818 Br
0.0000 0.7713 0.2316 Br
0.0000 0.2106 0.2106 Cl
0.5000 0.4915 0.0119 Cs
0.5000 0.0119 0.4915 Cs

CsReBrCl3 (PBE-GGA, optimized geometry); total magnetic moment = 0.0 μB/cell
1.0
4.0464 9.2775 0.4076
2.2041 -0.5725 -9.8704
-9.7006 4.3372 -2.4178
Re Cs Cl Br
6 6 18 6
direct
0.5518 0.9878 0.8629 Re
0.9878 0.5518 0.1371 Re
0.5518 0.9878 0.6371 Re
0.0822 0.3652 0.2500 Re
0.9878 0.5518 0.3629 Re
0.3652 0.0822 0.7500 Re
0.9960 0.9960 0.0000 Cs
0.7017 0.5116 0.7500 Cs
0.9960 0.9960 0.5000 Cs
0.2057 0.5672 0.7500 Cs
0.5672 0.2057 0.2500 Cs
0.5116 0.7017 0.2500 Cs
0.4275 0.3039 0.7500 Cl
0.7738 0.4718 0.3992 Cl
0.6633 0.9355 0.0732 Cl
0.7738 0.4718 0.1008 Cl
0.6735 0.1797 0.8978 Cl
0.1797 0.6735 0.1022 Cl
0.1947 0.1317 0.2500 Cl
0.1317 0.1947 0.7500 Cl
0.4718 0.7738 0.8992 Cl
0.2229 0.9006 0.7500 Cl
0.1797 0.6735 0.3978 Cl
0.6633 0.9355 0.4268 Cl
0.9355 0.6633 0.5732 Cl
0.6735 0.1797 0.6022 Cl
0.3039 0.4275 0.2500 Cl
0.9355 0.6633 0.9268 Cl
0.4718 0.7738 0.6008 Cl
0.9006 0.2229 0.2500 Cl
0.3585 0.0840 0.5142 Br
0.0840 0.3585 0.0142 Br
0.8866 0.7497 0.2500 Br
0.3585 0.0840 0.9858 Br
0.7497 0.8866 0.7500 Br
0.0840 0.3585 0.4858 Br

# CuBrCl

A geometry-optimized CuBrCl structure (PBE-GGA, the Open Quantum Materials Database).

```
CuBrCl
1.0
3.7095 -1.6918 0.0000
3.7095 1.6918 0.0000
-3.4548 0.0000 6.0389
Cl Br Cu
1 1 1
direct
0.5088 0.5088 0.2338 Cl
0.4912 0.4912 0.7570 Br
0.0000 0.0000 0.0092 Cu
```

# CuBrCl

A geometry-optimized CuBrCl structure (PBE-GGA, the Open Quantum Materials Database).

```
CuBrCl
1.0
6.9705 0.0000 0.0000
0.0000 3.4042 0.0000
-3.3088 0.0000 6.3796
Cu Cl Br
2 2 2
direct
0.0000 0.5000 0.0000 Cu
0.5000 0.0000 0.5000 Cu
0.2818 0.5000 0.5083 Cl
0.7182 0.5000 0.4917 Cl
0.7610 0.0000 0.0104 Br
0.2390 0.0000 0.9896 Br
```

# CuBrCl

A geometry-optimized CuBrCl structure (PBE-GGA, the Open Quantum Materials Database).

```
CuBrCl
1.0
-5.3363 1.5377 4.2324
-1.2116 -3.1289 -0.3909
5.9946 -2.7015 3.0425
Cu Cl Br
2 2 2
direct
0.7585 0.2500 0.2491 Cu
0.2415 0.7500 0.7509 Cu
0.9756 0.7500 0.2430 Cl
0.0244 0.2500 0.7570 Cl
0.4834 0.2500 0.7396 Br
0.5166 0.7500 0.2604 Br
```

FeCuBrCl3 (PBE-GGA, optimized geometry); total magnetic moment = 5.0 μB/cell
1.0
5.7399 0.0000 0.0000
-0.0005 5.7831 0.0000
-2.8633 -2.7767 5.1271
Cl Cu Fe Br
3 1 1 1
direct
0.3665 0.4153 0.2528 Cl
0.8799 0.8356 0.2498 Cl
0.1592 0.6308 0.7480 Cl
0.4991 0.5082 0.0063 Cu
0.2432 0.7426 0.4946 Fe
0.6020 0.1175 0.7485 Br

# GaCuBr2Cl2

A geometry-optimized GaCuBr2Cl2 structure (PBE-GGA, the Open Quantum Materials Database).

```
GaCuBr2Cl2
1.0
-3.5222 0.2553 5.5627
-2.3308 -5.2312 -3.2583
5.6256 0.1360 0.6753
Cl Br Ga Cu
2 2 1 1
direct
0.6513 0.9012 0.5110 Cl
0.0988 0.3487 0.4890 Cl
0.3855 0.1341 0.0130 Br
0.8659 0.6145 0.9870 Br
0.7537 0.2463 0.5000 Ga
0.9948 0.0052 0.0000 Cu
```

# GaCuBr3Cl

A geometry-optimized GaCuBr3Cl structure (PBE-GGA, the Open Quantum Materials Database).

```
GaCuBr3Cl
1.0
5.7699 0.0000 0.0000
-0.0102 5.7829 0.0000
-2.7642 -2.8714 5.3199
Cl Br Ga Cu
1 3 1 1
direct
0.1380 0.6514 0.7477 Cl
0.6117 0.1111 0.7516 Br
0.3650 0.3836 0.2504 Br
0.8852 0.8617 0.2517 Br
0.2477 0.7486 0.5035 Ga
0.0024 0.9935 0.9951 Cu
```

# GaCuBr2Cl2

A geometry-optimized GaCuBr2Cl2 structure (PBE-GGA, the Open Quantum Materials Database).

```
GaCuBr2Cl2
1.0
-0.1809 2.4190 -5.1502
-5.6904 -0.2136 0.1046
2.7015 3.6798 4.6569
Ga Cl Br Cu
1 2 2 1
direct
0.7508 0.2406 0.4999 Ga
0.6467 0.1345 0.7485 Cl
0.8617 0.8988 0.2537 Cl
0.1144 0.6109 0.7491 Br
0.3839 0.3635 0.2485 Br
0.9925 0.0018 0.0003 Cu
```

# Cu2HgBr3Cl

A geometry-optimized Cu2HgBr3Cl structure (PBE-GGA, the Open Quantum Materials Database).

```
Cu2HgBr3Cl
1.0
4.0157 -3.9871 0.0000
4.0157 3.9871 0.0000
-0.1141 0.0000 6.1382
Cu Hg Br Cl
2 1 3 1
direct
0.9933 0.5083 0.5058 Cu
0.5083 0.9933 0.5058 Cu
0.9986 0.9986 0.9978 Hg
0.2617 0.2617 0.7286 Br
0.2614 0.7315 0.2736 Br
0.7315 0.2614 0.2736 Br
0.7452 0.7452 0.7147 Cl
```

| no. | total energy (eV per atom) |
| --- | --- |
| 1 | -3.21 |
| 2 | -3.46 |
| 3 | -3.31 |
| 4 | -4.48 |
| 5 | -2.79 |
| 6 | -2.78 |
| 7 | -2.79 |
| 8 | -3.86 |
| 9 | -3.07 |
| 10 | -2.98 |
| 11 | -3.07 |
| 12 | -2.46 |